[1]
Entry from the Alexandria database: Rb4PaSe5 after structural relaxation (PBE-GGA).

For the uncorrected formation energy, the calculation gives -1.196 eV/atom. The energy above the most stable polymorph in this dataset comes out at 0.0000 eV per atom. The energy comes out at -4.2751 eV/atom. The density of states at the Fermi level comes out at 8.29 states/eV/cell.

It has space group I4 (No. 79), with a = 10.691 Å, b = 10.691 Å, c = 6.940 Å, α = 90.00°, β = 90.00° and γ = 90.00°. The distinct sites, in fractional coordinates, are Rb at (0.088, 0.702, 0.000), Pa at (0.000, 0.000, 0.548), Se at (0.000, 0.000, 0.936) and Se at (0.077, 0.758, 0.496).



[2]
Entry from the Alexandria database: Tb4PmPd4 after structural relaxation (PBE-GGA).

For the formation energy, the calculation gives -653 meV/atom. The energy comes out at -5.5466 eV/atom. The density of states at the Fermi level comes out at 15.43 states/eV/cell.

It has space group P4_2/n (No. 86, origin choice 2), with a = 9.063 Å, b = 9.063 Å, c = 5.817 Å, α = 90.00°, β = 90.00° and γ = 90.00°. The distinct sites, in fractional coordinates, are Tb at (0.073, 0.656, 0.163), Pm at (0.250, 0.250, 0.250) and Pd at (0.037, 0.624, 0.659).



[3]
Entry from the Alexandria database: CaPtC2 after structural relaxation (PBE-GGA).

For the formation energy, the calculation gives 1219 meV/atom. The energy comes out at -5.4039 eV/atom. The density of states at the Fermi level comes out at 2.89 states/eV/cell.

It has space group Fm-3m (No. 225), with a = 5.792 Å, b = 5.792 Å, c = 5.792 Å, α = 90.00°, β = 90.00° and γ = 90.00°. The distinct sites, in fractional coordinates, are Ca at (0.000, 0.000, 0.000), Pt at (0.000, 0.000, 0.500) and C at (0.250, 0.250, 0.250).



[4]
Entry from the Alexandria database: YMo3Ru after structural relaxation (PBE-GGA).

For the formation energy, the calculation gives 2760 meV/atom. The energy above the most stable polymorph in this dataset comes out at 1.6894 eV per atom. The energy comes out at -6.8871 eV/atom. The density of states at the Fermi level comes out at 10.48 states/eV/cell.

It has space group Pm-3m (No. 221), with a = 4.693 Å, b = 4.693 Å, c = 4.693 Å, α = 90.00°, β = 90.00° and γ = 90.00°. The distinct sites, in fractional coordinates, are Y at (0.000, 0.000, 0.000), Mo at (0.000, 0.000, 0.500) and Ru at (0.500, 0.500, 0.500).



[5]
Entry from the Alexandria database: Co2HgSe after structural relaxation (PBE-GGA).

For the uncorrected formation energy, the calculation gives 0.235 eV/atom. The energy above the most stable polymorph in this dataset comes out at 0.0389 eV per atom. The energy comes out at -4.2645 eV/atom. The density of states at the Fermi level comes out at 5.17 states/eV/cell.

It has space group Pm (No. 6), with a = 3.518 Å, b = 3.472 Å, c = 6.671 Å, α = 90.00°, β = 105.03° and γ = 90.00°. The distinct sites, in fractional coordinates, are Co at (0.000, 0.000, 0.000), Co at (0.496, 0.500, 0.992), Hg at (0.837, 0.500, 0.666) and Se at (0.617, 0.000, 0.237).



[6]
Entry from the Alexandria database: Ba2SrNbAs after structural relaxation (PBE-GGA).

For the formation energy, the calculation gives 297 meV/atom. The energy comes out at -3.7518 eV/atom. The density of states at the Fermi level comes out at 2.07 states/eV/cell.

It has space group P4/mmm (No. 123), with a = 6.332 Å, b = 6.332 Å, c = 5.934 Å, α = 90.00°, β = 90.00° and γ = 90.00°. The distinct sites, in fractional coordinates, are Ba at (0.000, 0.500, 0.000), Sr at (0.000, 0.000, 0.500), Nb at (0.500, 0.500, 0.500) and As at (0.000, 0.000, 0.000).



[7]
Entry from the Alexandria database: Al3BiC after structural relaxation (PBE-GGA).

For the formation energy, the calculation gives 433 meV/atom. The energy above the most stable polymorph in this dataset comes out at 0.0000 eV per atom. The energy comes out at -4.4332 eV/atom. The density of states at the Fermi level comes out at 1.01 states/eV/cell.

It has space group Pm-3m (No. 221), with a = 4.407 Å, b = 4.407 Å, c = 4.407 Å, α = 90.00°, β = 90.00° and γ = 90.00°. The distinct sites, in fractional coordinates, are Al at (0.000, 0.000, 0.500), Bi at (0.500, 0.500, 0.500) and C at (0.000, 0.000, 0.000).



[8]
Entry from the Alexandria database: Pr5Ho2Er6 after structural relaxation (PBE-GGA).

For the formation energy, the calculation gives 96 meV/atom. The energy comes out at -4.5527 eV/atom. The density of states at the Fermi level comes out at 31.65 states/eV/cell.

It has space group Pbam (No. 55), with a = 11.642 Å, b = 20.587 Å, c = 3.604 Å, α = 90.00°, β = 90.00° and γ = 90.00°. The distinct sites, in fractional coordinates, are Pr at (0.000, 0.000, 0.000), Pr at (0.083, 0.273, 0.000), Pr at (0.198, 0.551, 0.000), Ho at (0.172, 0.711, 0.500), Er at (0.063, 0.419, 0.500), Er at (0.080, 0.132, 0.500) and Er at (0.175, 0.861, 0.000).



[9]
Entry from the Alexandria database: RbScBr4 after structural relaxation (PBE-GGA).

For the uncorrected formation energy, the calculation gives -1.722 eV/atom. The energy above the most stable polymorph in this dataset comes out at 0.0137 eV per atom. The energy comes out at -4.0542 eV/atom. The density of states at the Fermi level comes out at 0.00 states/eV/cell.

It has space group C2/c (No. 15), with a = 10.398 Å, b = 15.826 Å, c = 6.769 Å, α = 90.00°, β = 121.60° and γ = 90.00°. The distinct sites, in fractional coordinates, are Rb at (0.000, 0.171, 0.250), Sc at (0.000, 0.427, 0.750), Br at (0.165, 0.314, 0.718) and Br at (0.176, 0.449, 0.211).



[10]
Entry from the Alexandria database: Ba2Sb2Br after structural relaxation (PBE-GGA).

For the uncorrected formation energy, the calculation gives -1.210 eV/atom. The energy above the most stable polymorph in this dataset comes out at 0.0000 eV per atom. The energy comes out at -3.9625 eV/atom. The density of states at the Fermi level comes out at 3.86 states/eV/cell.

It has space group Cmmm (No. 65), with a = 5.232 Å, b = 17.705 Å, c = 4.709 Å, α = 90.00°, β = 90.00° and γ = 90.00°. The distinct sites, in fractional coordinates, are Ba at (0.000, 0.141, 0.000), Sb at (0.000, 0.291, 0.500) and Br at (0.000, 0.000, 0.500).



[11]
Entry from the Alexandria database: BAsCl3 after structural relaxation (PBE-GGA).

For the uncorrected formation energy, the calculation gives 0.696 eV/atom. The energy above the most stable polymorph in this dataset comes out at 0.0610 eV per atom. The energy comes out at -2.6775 eV/atom. The density of states at the Fermi level comes out at 6.52 states/eV/cell.

It has space group Pm-3m (No. 221), with a = 5.056 Å, b = 5.056 Å, c = 5.056 Å, α = 90.00°, β = 90.00° and γ = 90.00°. The distinct sites, in fractional coordinates, are B at (0.000, 0.000, 0.000), As at (0.500, 0.500, 0.500) and Cl at (0.000, 0.500, 0.500).



[12]
Entry from the Alexandria database: BeCdNi2 after structural relaxation (PBE-GGA).

For the formation energy, the calculation gives -152 meV/atom. The energy comes out at -4.2027 eV/atom. The density of states at the Fermi level comes out at 1.40 states/eV/cell.

It has space group P4/mmm (No. 123), with a = 2.723 Å, b = 2.723 Å, c = 6.532 Å, α = 90.00°, β = 90.00° and γ = 90.00°. The distinct sites, in fractional coordinates, are Be at (0.000, 0.000, 0.000), Cd at (0.000, 0.000, 0.500) and Ni at (0.500, 0.500, 0.192).